(1)
Density functional theory data (PBE) for an optimized crystal structure of Sm2NpCuS5.

Summary:
The energy relative to the elements, uncorrected is -1.53 eV per atom. As for the space group: Cmc2_1, No. 36.

Cell: 8.692 8.692 11.520 Å, 90.00 90.00 154.19°
Fractional coordinates of all 18 atoms:
Sm: 0.107 0.893 0.500
Sm: 0.121 0.879 0.124
Sm: 0.879 0.121 0.624
Sm: 0.893 0.107 0.000
Np: 0.199 0.801 0.824
Np: 0.801 0.199 0.324
Cu: 0.442 0.558 0.263
Cu: 0.558 0.442 0.763
S: 0.045 0.955 0.870
S: 0.291 0.709 0.490
S: 0.318 0.682 0.160
S: 0.361 0.639 0.817
S: 0.497 0.503 0.588
S: 0.503 0.497 0.088
S: 0.639 0.361 0.317
S: 0.682 0.318 0.660
S: 0.709 0.291 0.990
S: 0.955 0.045 0.370



(2)
Density functional theory data (PBE) for an optimized crystal structure of BaCe2F8.

Summary:
The energy relative to the elements, uncorrected is -3.91 eV per atom. As for the space group: Cm, No. 8.

Cell: 7.387 7.387 4.351 Å, 106.43 106.43 121.46°
Fractional coordinates of all 11 atoms:
Ba: 0.000 0.000 0.000
Ce: 0.330 0.657 0.931
Ce: 0.657 0.330 0.931
F: 0.021 0.239 0.628
F: 0.093 0.505 0.270
F: 0.239 0.021 0.628
F: 0.439 0.439 0.546
F: 0.505 0.093 0.270
F: 0.580 0.928 0.735
F: 0.692 0.692 0.237
F: 0.928 0.580 0.735



(3)
Density functional theory data (PBE) for an optimized crystal structure of PaBiC.

Summary:
The value obtained for the energy relative to the elements is -0.267 eV per atom. As for the space group: P4/nmm, No. 129. The relative energy among the computed polymorphs comes out at 0.000 eV/atom.

Cell: 4.152 4.152 7.809 Å, 90.00 90.00 90.00°
Fractional coordinates of all 6 atoms:
Pa: 0.250 0.250 0.135
Pa: 0.750 0.750 0.865
Bi: 0.250 0.250 0.593
Bi: 0.750 0.750 0.407
C: 0.250 0.750 0.000
C: 0.750 0.250 0.000



(4)
Density functional theory data (PBE) for an optimized crystal structure of PmHoMg14.

Summary:
The value obtained for the energy relative to the elements is -0.036 eV per atom. As for the space group: P4/mmm, No. 123.

Cell: 6.937 6.937 8.025 Å, 90.00 90.00 90.00°
Fractional coordinates of all 16 atoms:
Pm: 0.000 0.000 0.000
Ho: 0.500 0.500 0.000
Mg: 0.000 0.000 0.500
Mg: 0.000 0.500 0.000
Mg: 0.000 0.500 0.500
Mg: 0.252 0.252 0.262
Mg: 0.252 0.252 0.738
Mg: 0.252 0.748 0.262
Mg: 0.252 0.748 0.738
Mg: 0.500 0.000 0.000
Mg: 0.500 0.000 0.500
Mg: 0.500 0.500 0.500
Mg: 0.748 0.252 0.262
Mg: 0.748 0.252 0.738
Mg: 0.748 0.748 0.262
Mg: 0.748 0.748 0.738



(5)
Density functional theory data (PBE) for an optimized crystal structure of PmYAl.

Summary:
The value obtained for the energy relative to the elements is -0.037 eV per atom. As for the space group: R-3m, No. 166. The relative energy among the computed polymorphs comes out at 0.217 eV/atom.

Cell: 8.876 8.876 8.876 Å, 33.48 33.48 33.48°
Fractional coordinates of all 6 atoms:
Pm: 0.124 0.124 0.124
Pm: 0.876 0.876 0.876
Y: 0.374 0.374 0.374
Y: 0.626 0.626 0.626
Al: 0.252 0.252 0.252
Al: 0.748 0.748 0.748



(6)
Density functional theory data (PBE) for an optimized crystal structure of CsSbTeH3.

Summary:
As for the space group: Imm2, No. 44. The relative energy among the computed polymorphs comes out at 0.033 eV/atom.

Cell: 7.188 7.188 7.188 Å, 143.02 141.27 54.62°
Fractional coordinates of all 6 atoms:
Cs: 0.000 0.000 0.000
Sb: 0.239 0.739 0.500
Te: 0.747 0.247 0.500
H: 0.375 0.875 0.500
H: 0.472 0.472 0.000
H: 0.531 0.531 0.000



What did the third record say?
Density functional theory data (PBE) for an optimized crystal structure of PaBiC.

Summary:
The value obtained for the energy relative to the elements is -0.267 eV per atom. As for the space group: P4/nmm, No. 129. The relative energy among the computed polymorphs comes out at 0.000 eV/atom.

Cell: 4.152 4.152 7.809 Å, 90.00 90.00 90.00°
Fractional coordinates of all 6 atoms:
Pa: 0.250 0.250 0.135
Pa: 0.750 0.750 0.865
Bi: 0.250 0.250 0.593
Bi: 0.750 0.750 0.407
C: 0.250 0.750 0.000
C: 0.750 0.250 0.000